Entry 1:
Below is a relaxed Ti8Ge2Sb crystal, with properties calculated at the PBE-GGA level.

Results
Space-group type: No. 12

Cell lengths 4.3483, 6.9325, 7.2753 Å; angles 116.13, 107.39, 90.00 degrees
Closest atoms and distances in Å follow each position.
Element x y z (fractional)
1 Ti 0.4061 0.5472 0.8123  2 Ge 2.65, 4 Ti 2.75-2.97, 1 Sb 2.79
2 Ti 0.6789 0.9032 0.3579  3 Ge 2.70-2.85, 6 Ti 2.77-2.82, 1 Sb 2.86
3 Ti 0.8360 0.7621 0.6719  3 Ge 2.73-2.74, 6 Ti 2.77-3.04, 2 Sb 3.03
4 Ti 0.9663 0.2494 0.9326  1 Ge 2.68, 5 Ti 2.75-2.82, 2 Sb 2.95
5 Ti 0.1640 0.2379 0.3281  3 Ge 2.73-2.74, 6 Ti 2.77-3.04, 2 Sb 3.03
6 Ti 0.3211 0.0968 0.6421  3 Ge 2.70-2.85, 6 Ti 2.77-2.82, 1 Sb 2.86
7 Ti 0.5939 0.4528 0.1877  2 Ge 2.65, 4 Ti 2.75-2.97, 1 Sb 2.79
8 Ti 0.0337 0.7506 0.0674  1 Ge 2.68, 5 Ti 2.75-2.82, 2 Sb 2.95
9 Ge 0.7985 0.3395 0.5970  9 Ti 2.65-2.85
10 Ge 0.2015 0.6605 0.4030  9 Ti 2.65-2.85
11 Sb 0.5000 0.0000 0.0000  12 Ti 2.79-3.03

Entry 2:
Below is a relaxed TiGeSb crystal, with properties calculated at the PBE-GGA level.

Results
Space-group type: No. 129

Cell lengths 3.7265, 3.7265, 8.2470 Å; angles 90.00, 90.00, 90.00 degrees
Closest atoms and distances in Å follow each position.
Element x y z (fractional)
1 Sb 0.2500 0.2500 0.6170  5 Ti 2.86-3.04
2 Sb 0.7500 0.7500 0.3830  5 Ti 2.86-3.04
3 Ge 0.2500 0.7500 0.0000  4 Ge 2.64, 4 Ti 2.77
4 Ge 0.7500 0.2500 0.0000  4 Ge 2.64, 4 Ti 2.77
5 Ti 0.2500 0.2500 0.2478  4 Ge 2.77, 5 Sb 2.86-3.04
6 Ti 0.7500 0.7500 0.7522  4 Ge 2.77, 5 Sb 2.86-3.04

Entry 3:
Below is a relaxed Ti5Ge2Sb crystal, with properties calculated at the PBE-GGA level.

Results
Space-group type: No. 140

Cell lengths 6.7430, 6.7430, 7.6685 Å; angles 116.08, 116.08, 90.00 degrees
Closest atoms and distances in Å follow each position.
Element x y z (fractional)
1 Ti 0.5092 0.6933 0.7025  3 Ge 2.63-2.69, 2 Sb 2.82
2 Ti 0.8067 0.9908 0.2975  3 Ge 2.63-2.69, 2 Sb 2.82
3 Ti 0.0000 0.0000 0.0000  4 Ge 2.60
4 Ti 0.5000 0.5000 0.0000  4 Ge 2.60
5 Ti 0.1933 0.0092 0.7025  3 Ge 2.63-2.69, 2 Sb 2.82
6 Ti 0.6933 0.1933 0.7025  3 Ge 2.63-2.69, 2 Sb 2.82
7 Ti 0.0092 0.5092 0.7025  3 Ge 2.63-2.69, 2 Sb 2.82
8 Ti 0.3067 0.8067 0.2975  3 Ge 2.63-2.69, 2 Sb 2.82
9 Ti 0.9908 0.4908 0.2975  3 Ge 2.63-2.69, 2 Sb 2.82
10 Ti 0.4908 0.3067 0.2975  3 Ge 2.63-2.69, 2 Sb 2.82
11 Ge 0.1403 0.3597 0.0000  8 Ti 2.60-2.69, 1 Ge 2.68
12 Ge 0.6403 0.1403 0.0000  8 Ti 2.60-2.69, 1 Ge 2.68
13 Ge 0.3597 0.8597 0.0000  8 Ti 2.60-2.69, 1 Ge 2.68
14 Ge 0.8597 0.6403 0.0000  8 Ti 2.60-2.69, 1 Ge 2.68
15 Sb 0.7500 0.7500 0.5000  10 Ti 2.82-3.00
16 Sb 0.2500 0.2500 0.5000  10 Ti 2.82-3.00

Entry 4:
Below is a relaxed Ti2GeSb crystal, with properties calculated at the PBE-GGA level.

Results
Space-group type: No. 166
Excess energy over the best structure of this formula in the dataset, eV per atom: 0.2321

Cell lengths 3.5085, 3.5085, 8.6503 Å; angles 78.30, 78.30, 60.00 degrees
Closest atoms and distances in Å follow each position.
Element x y z (fractional)
1 Sb 0.0000 0.0000 0.0000  2 Ti 2.71
2 Ge 0.5000 0.5000 0.5000  6 Ti 2.52
3 Ti 0.1074 0.1074 0.6778  3 Ge 2.52, 1 Sb 2.71
4 Ti 0.8926 0.8926 0.3222  3 Ge 2.52, 1 Sb 2.71

Entry 5:
Below is a relaxed Ti6GeSb3 crystal, with properties calculated at the PBE-GGA level.

Results
Space-group type: No. 36

Cell lengths 6.7427, 8.0409, 8.0409 Å; angles 107.76, 90.00, 90.00 degrees
Closest atoms and distances in Å follow each position.
Element x y z (fractional)
1 Ti 0.1678 0.7369 0.5945  4 Sb 2.73-2.81, 2 Ti 2.78-2.82
2 Ti 0.6678 0.5945 0.7369  4 Sb 2.73-2.81, 2 Ti 2.78-2.82
3 Ti 0.2283 0.4172 0.9251  1 Ge 2.67, 1 Ti 2.78, 3 Sb 2.79-2.80
4 Ti 0.7283 0.9251 0.4172  1 Ge 2.67, 1 Ti 2.78, 3 Sb 2.79-2.80
5 Ti 0.2420 0.0276 0.9724  2 Ge 2.54-2.84, 2 Sb 2.77
6 Ti 0.6184 0.2500 0.7500  1 Ge 2.60, 3 Sb 2.81-2.87, 2 Ti 2.82
7 Ti 0.1184 0.7500 0.2500  1 Ge 2.60, 3 Sb 2.81-2.87, 2 Ti 2.82
8 Ti 0.7420 0.9724 0.0276  2 Ge 2.54-2.84, 2 Sb 2.77
9 Ti 0.2283 0.0749 0.5828  1 Ge 2.67, 1 Ti 2.78, 3 Sb 2.79-2.80
10 Ti 0.7283 0.5828 0.0749  1 Ge 2.67, 1 Ti 2.78, 3 Sb 2.79-2.80
11 Ti 0.1678 0.4055 0.2631  4 Sb 2.73-2.81, 2 Ti 2.78-2.82
12 Ti 0.6678 0.2631 0.4055  4 Sb 2.73-2.81, 2 Ti 2.78-2.82
13 Ge 0.9618 0.1588 0.8412  5 Ti 2.54-2.84
14 Ge 0.4618 0.8412 0.1588  5 Ti 2.54-2.84
15 Sb 0.5203 0.9010 0.7103  7 Ti 2.73-2.86
16 Sb 0.0203 0.7103 0.9010  7 Ti 2.73-2.86
17 Sb 0.3305 0.4132 0.5868  7 Ti 2.77-2.87
18 Sb 0.8305 0.5868 0.4132  7 Ti 2.77-2.87
19 Sb 0.0203 0.0990 0.2897  7 Ti 2.73-2.86
20 Sb 0.5203 0.2897 0.0990  7 Ti 2.73-2.86

Entry 6:
Below is a relaxed Ti10GeSb6 crystal, with properties calculated at the PBE-GGA level.

Results
Space-group type: No. 162

Cell lengths 5.5186, 8.1236, 8.1236 Å; angles 120.00, 90.00, 90.00 degrees
Closest atoms and distances in Å follow each position.
Element x y z (fractional)
1 Ti 0.7630 0.7411 0.7411  1 Ge 2.56, 2 Sb 2.78
2 Ti 0.7630 0.0000 0.2589  1 Ge 2.56, 2 Sb 2.78
3 Ti 0.7630 0.2589 0.0000  1 Ge 2.56, 2 Sb 2.78
4 Ti 0.2370 0.2589 0.2589  1 Ge 2.56, 2 Sb 2.78
5 Ti 0.2370 0.0000 0.7411  1 Ge 2.56, 2 Sb 2.78
6 Ti 0.2370 0.7411 0.0000  1 Ge 2.56, 2 Sb 2.78
7 Ti 0.5000 0.3333 0.6667  2 Ti 2.76, 6 Sb 2.87
8 Ti 0.5000 0.6667 0.3333  2 Ti 2.76, 6 Sb 2.87
9 Ti 0.0000 0.6667 0.3333  2 Ti 2.76, 6 Sb 2.87
10 Ti 0.0000 0.3333 0.6667  2 Ti 2.76, 6 Sb 2.87
11 Ge 0.5000 0.0000 0.0000  6 Ti 2.56
12 Sb 0.7493 0.3881 0.3881  9 Ti 2.78-3.02
13 Sb 0.7493 0.0000 0.6119  9 Ti 2.78-3.02
14 Sb 0.7493 0.6119 0.0000  9 Ti 2.78-3.02
15 Sb 0.2507 0.6119 0.6119  9 Ti 2.78-3.02
16 Sb 0.2507 0.0000 0.3881  9 Ti 2.78-3.02
17 Sb 0.2507 0.3881 0.0000  9 Ti 2.78-3.02

| no. | uncorrected formation energy (eV/atom) | total magnetic moment (μB/f.u.) |
| --- | --- | --- |
| 1 | -0.40 | 0.00 |
| 2 | -0.43 | 0.00 |
| 3 | -0.62 | 0.00 |
| 4 | 0.04 | 0.78 |
| 5 | -0.24 | 0.00 |
| 6 | -0.56 | 0.00 |